An optimized crystal structure of MoRh2Au, computed with GGA-PBE.

Results
Crystal system: monoclinic
DFT formation energy, kcal/mol of atoms: 1.53
Total magnetization, μB per formula unit: 0.0
Density of states at the Fermi level, states/eV/atom: 1.2626
Offset from the most stable computed form, meV per atom: 149

Cell: 9.3275 2.8163 4.7725 Å, 90.00 100.64 90.00°
Space group Cm (No. 8)
Unique sites:
Mo (0.0000, 0.0000, 0.0000) [2 per cell]
Rh (0.0101, 0.5000, 0.5254) [2 per cell]
Rh (0.2561, 0.0000, 0.7865) [2 per cell]
Au (0.2557, 0.5000, 0.2801) [2 per cell]

An optimized crystal structure of MoRhAu, computed with GGA-PBE.

Results
Crystal system: tetragonal
DFT formation energy, kcal/mol of atoms: 0.20
Total magnetization, μB per formula unit: 0.0
Density of states at the Fermi level, states/eV/atom: 1.2424
Offset from the most stable computed form, meV per atom: 38

Cell: 2.8362 2.8362 11.8793 Å, 90.00 90.00 90.00°
Space group I4mm (No. 107)
Unique sites:
Mo (0.0000, 0.0000, 0.0000) [2 per cell]
Rh (0.0000, 0.0000, 0.3546) [2 per cell]
Au (0.0000, 0.0000, 0.6746) [2 per cell]

An optimized crystal structure of MoRhAu2, computed with GGA-PBE.

Results
Crystal system: monoclinic
DFT formation energy, kcal/mol of atoms: 4.67
Total magnetization, μB per formula unit: 0.0
Density of states at the Fermi level, states/eV/atom: 0.7979
Offset from the most stable computed form, meV per atom: 198

Cell: 9.5569 2.8662 4.8235 Å, 90.00 99.70 90.00°
Space group C2/m (No. 12)
Unique sites:
Mo (0.0000, 0.0000, 0.0000) [2 per cell]
Rh (0.0000, 0.5000, 0.5000) [2 per cell]
Au (0.2482, 0.5000, 0.2476) [4 per cell]

An optimized crystal structure of MoRhAu2, computed with GGA-PBE.

Results
Crystal system: orthorhombic
DFT formation energy, kcal/mol of atoms: 8.17
Total magnetization, μB per formula unit: 0.0
Density of states at the Fermi level, states/eV/atom: 1.3135
Offset from the most stable computed form, meV per atom: 349

Cell: 2.8748 4.7003 4.9357 Å, 90.00 90.00 90.00°
Space group Pmmm (No. 47)
Unique sites:
Mo (0.0000, 0.0000, 0.0000) [1 per cell]
Rh (0.5000, 0.5000, 0.0000) [1 per cell]
Au (0.0000, 0.5000, 0.5000) [1 per cell]
Au (0.5000, 0.0000, 0.5000) [1 per cell]

Q: What is the formula in the first record?
A: MoRh2Au